[1]
FeReP4: optimized geometry, GGA-PBE.

- DOS(E_F) (states/eV/atom) = 0.71
- formation enthalpy at 0 K (eV per atom) = 0.934
- V (Å³/cell) = 81
- spin magnetization (Bohr magnetons per cell) = 2.2

abc: 4.8547 4.8547 4.8547
angles: 60.00 60.00 60.00
Positions (direct):
Fe 0.0000 0.0000 0.0000
Re 0.2500 0.2500 0.2500
P 0.1247 0.6251 0.6251
P 0.6251 0.1247 0.6251
P 0.6251 0.6251 0.1247
P 0.6251 0.6251 0.6251

[2]
Fe2ReP: optimized geometry, GGA-PBE.

- DOS(E_F) (states/eV/atom) = 1.12
- formation enthalpy at 0 K (eV per atom) = -0.027
- V (Å³/cell) = 48
- spin magnetization (Bohr magnetons per cell) = 1.4

abc: 7.8794 7.8794 7.8794
angles: 19.55 19.55 19.55
Positions (direct):
Fe 0.2416 0.2416 0.2416
Fe 0.7584 0.7584 0.7584
Re 0.0000 0.0000 0.0000
P 0.5000 0.5000 0.5000

[3]
FeReP2: optimized geometry, GGA-PBE.

- DOS(E_F) (states/eV/atom) = 0.91
- formation enthalpy at 0 K (eV per atom) = 0.517
- V (Å³/cell) = 53
- spin magnetization (Bohr magnetons per cell) = 2.4

abc: 4.2052 4.2052 4.2052
angles: 60.00 60.00 60.00
Positions (direct):
Fe 0.0000 0.0000 0.0000
Re 0.2500 0.2500 0.2500
P 0.5000 0.5000 0.5000
P 0.7500 0.7500 0.7500

[4]
Fe2ReP: optimized geometry, GGA-PBE.

- DOS(E_F) (states/eV/atom) = 1.05
- formation enthalpy at 0 K (eV per atom) = 0.011
- V (Å³/cell) = 48
- spin magnetization (Bohr magnetons per cell) = 4.0

abc: 4.0865 4.0865 4.0865
angles: 60.00 60.00 60.00
Positions (direct):
Fe 0.0000 0.0000 0.0000
Fe 0.2500 0.2500 0.2500
Re 0.7500 0.7500 0.7500
P 0.5000 0.5000 0.5000

[5]
FeRe2P: optimized geometry, GGA-PBE.

- DOS(E_F) (states/eV/atom) = 0.65
- formation enthalpy at 0 K (eV per atom) = -0.079
- V (Å³/cell) = 51
- spin magnetization (Bohr magnetons per cell) = 0.0

abc: 2.8008 2.8008 6.5448
angles: 90.00 90.00 90.00
Positions (direct):
Fe 0.0000 0.0000 0.0000
Re 0.0000 0.0000 0.4299
Re 0.5000 0.5000 0.7165
P 0.5000 0.5000 0.1903

[6]
Fe2ReP: optimized geometry, GGA-PBE.

- DOS(E_F) (states/eV/atom) = 0.77
- formation enthalpy at 0 K (eV per atom) = 0.113
- V (Å³/cell) = 50
- spin magnetization (Bohr magnetons per cell) = 3.3

abc: 7.8210 7.8210 7.8210
angles: 20.24 20.24 20.24
Positions (direct):
Fe 0.0000 0.0000 0.0000
Fe 0.2489 0.2489 0.2489
Re 0.4904 0.4904 0.4904
P 0.7393 0.7393 0.7393

[7]
FeReP2: optimized geometry, GGA-PBE.

- DOS(E_F) (states/eV/atom) = 0.55
- formation enthalpy at 0 K (eV per atom) = 0.275
- V (Å³/cell) = 53
- spin magnetization (Bohr magnetons per cell) = 0.6

abc: 2.8712 2.8712 7.3651
angles: 90.00 90.00 119.78
Positions (direct):
Fe 0.0000 0.0000 0.0000
Re 0.0000 0.0000 0.5000
P 0.5000 0.5000 0.2348
P 0.5000 0.5000 0.7652

[8]
FeReP2: optimized geometry, GGA-PBE.

- DOS(E_F) (states/eV/atom) = 0.84
- formation enthalpy at 0 K (eV per atom) = 0.040
- V (Å³/cell) = 58
- spin magnetization (Bohr magnetons per cell) = 0.2

abc: 2.7909 2.7909 7.4422
angles: 90.00 90.00 90.00
Positions (direct):
Fe 0.0000 0.0000 0.0000
Re 0.5000 0.5000 0.7565
P 0.0000 0.0000 0.5530
P 0.5000 0.5000 0.1646

[9]
FeReP2: optimized geometry, GGA-PBE.

- DOS(E_F) (states/eV/atom) = 1.08
- formation enthalpy at 0 K (eV per atom) = 0.121
- V (Å³/cell) = 135
- spin magnetization (Bohr magnetons per cell) = 0.0

abc: 6.1448 6.1448 6.1448
angles: 129.34 129.34 74.47
Positions (direct):
Fe 0.0000 0.0000 0.0000
Fe 0.7500 0.2500 0.5000
Re 0.2500 0.7500 0.5000
Re 0.5000 0.5000 0.0000
P 0.1023 0.6250 0.9773
P 0.3750 0.3523 0.4773
P 0.6477 0.1250 0.0227
P 0.8750 0.8977 0.5227

[10]
FeReP2: optimized geometry, GGA-PBE.

- DOS(E_F) (states/eV/atom) = 0.85
- formation enthalpy at 0 K (eV per atom) = 0.294
- V (Å³/cell) = 63
- spin magnetization (Bohr magnetons per cell) = 2.4

abc: 2.6934 2.6934 9.4403
angles: 90.00 90.00 112.81
Positions (direct):
Fe 0.0000 0.0000 0.0000
Re 0.5000 0.5000 0.7651
P 0.0000 0.0000 0.5632
P 0.5000 0.5000 0.1832

[11]
FeRe2P: optimized geometry, GGA-PBE.

- DOS(E_F) (states/eV/atom) = 0.63
- formation enthalpy at 0 K (eV per atom) = 0.828
- V (Å³/cell) = 147
- spin magnetization (Bohr magnetons per cell) = 0.0

abc: 6.3915 6.3915 6.3915
angles: 130.58 130.58 72.48
Positions (direct):
Fe 0.0000 0.0000 0.0000
Fe 0.7500 0.2500 0.5000
Re 0.1147 0.6250 0.9897
Re 0.3750 0.3647 0.4897
Re 0.6353 0.1250 0.0103
Re 0.8750 0.8853 0.5103
P 0.2500 0.7500 0.5000
P 0.5000 0.5000 0.0000

[12]
FeRe2P: optimized geometry, GGA-PBE.

- DOS(E_F) (states/eV/atom) = 0.83
- formation enthalpy at 0 K (eV per atom) = -0.010
- V (Å³/cell) = 54
- spin magnetization (Bohr magnetons per cell) = 0.0

abc: 2.7987 3.6432 5.4637
angles: 90.00 104.75 90.00
Positions (direct):
Fe 0.0000 0.0000 0.0000
Re 0.3483 0.5000 0.6939
Re 0.7230 0.0000 0.4447
P 0.5613 0.5000 0.1249

[13]
Fe2ReP: optimized geometry, GGA-PBE.

- DOS(E_F) (states/eV/atom) = 1.03
- formation enthalpy at 0 K (eV per atom) = -0.045
- V (Å³/cell) = 47
- spin magnetization (Bohr magnetons per cell) = 0.0

abc: 2.6833 3.7362 4.8845
angles: 90.00 105.39 90.00
Positions (direct):
Fe 0.1367 0.0000 0.2656
Fe 0.8633 0.0000 0.7344
Re 0.5000 0.5000 0.0000
P 0.5000 0.5000 0.5000

[14]
FeReP2: optimized geometry, GGA-PBE.

- DOS(E_F) (states/eV/atom) = 0.93
- formation enthalpy at 0 K (eV per atom) = 0.305
- V (Å³/cell) = 54
- spin magnetization (Bohr magnetons per cell) = 1.5

abc: 4.6986 4.6986 2.9393
angles: 107.05 107.05 106.79
Positions (direct):
Fe 0.0000 0.0000 0.0000
Re 0.5000 0.5000 0.0000
P 0.0000 0.5000 0.0000
P 0.5000 0.0000 0.0000

[15]
FeReP2: optimized geometry, GGA-PBE.

- DOS(E_F) (states/eV/atom) = 0.63
- formation enthalpy at 0 K (eV per atom) = -0.209
- V (Å³/cell) = 50
- spin magnetization (Bohr magnetons per cell) = 0.9

abc: 4.2935 4.2935 4.2589
angles: 103.79 103.79 40.94
Positions (direct):
Fe 0.0000 0.0000 0.0000
Re 0.2318 0.2318 0.5866
P 0.4934 0.4934 0.4288
P 0.7316 0.7316 0.0818

[16]
FeReP2: optimized geometry, GGA-PBE.

- DOS(E_F) (states/eV/atom) = 0.45
- formation enthalpy at 0 K (eV per atom) = -0.109
- V (Å³/cell) = 48
- spin magnetization (Bohr magnetons per cell) = 0.0

abc: 4.0890 4.0890 4.0890
angles: 60.00 60.00 60.00
Positions (direct):
Fe 0.0000 0.0000 0.0000
Re 0.5000 0.5000 0.5000
P 0.2500 0.2500 0.2500
P 0.7500 0.7500 0.7500

[17]
Fe2ReP: optimized geometry, GGA-PBE.

- DOS(E_F) (states/eV/atom) = 0.76
- formation enthalpy at 0 K (eV per atom) = 0.222
- V (Å³/cell) = 52
- spin magnetization (Bohr magnetons per cell) = 4.7

abc: 2.7232 2.7232 7.5975
angles: 90.00 90.00 112.70
Positions (direct):
Fe 0.0000 0.0000 0.0000
Fe 0.5000 0.5000 0.2545
Re 0.0000 0.0000 0.5333
P 0.5000 0.5000 0.7803

[18]
FeReP2: optimized geometry, GGA-PBE.

- DOS(E_F) (states/eV/atom) = 0.84
- formation enthalpy at 0 K (eV per atom) = 0.315
- V (Å³/cell) = 53
- spin magnetization (Bohr magnetons per cell) = 1.5

abc: 2.9769 3.7224 4.7542
angles: 90.00 90.00 90.00
Positions (direct):
Fe 0.0000 0.0000 0.0000
Re 0.5000 0.0000 0.5000
P 0.0000 0.5000 0.5000
P 0.5000 0.5000 0.0000

[19]
FeRe2P: optimized geometry, GGA-PBE.

- DOS(E_F) (states/eV/atom) = 1.06
- formation enthalpy at 0 K (eV per atom) = 0.370
- V (Å³/cell) = 54
- spin magnetization (Bohr magnetons per cell) = 2.0

abc: 4.2470 4.2470 4.2470
angles: 60.00 60.00 60.00
Positions (direct):
Fe 0.0000 0.0000 0.0000
Re 0.2500 0.2500 0.2500
Re 0.5000 0.5000 0.5000
P 0.7500 0.7500 0.7500

[20]
FeRe2P: optimized geometry, GGA-PBE.

- DOS(E_F) (states/eV/atom) = 1.02
- formation enthalpy at 0 K (eV per atom) = 0.132
- V (Å³/cell) = 54
- spin magnetization (Bohr magnetons per cell) = 1.6

abc: 2.7894 3.8100 5.2112
angles: 90.00 102.45 90.00
Positions (direct):
Fe 0.0000 0.0000 0.0000
Re 0.3589 0.5000 0.7433
Re 0.6411 0.5000 0.2567
P 0.0000 0.0000 0.5000